Entry 1:
Below is KCaMg2 after structural relaxation, with properties calculated at the GGA-PBE level. Values from VASP.

Quantum ESPRESSO input file:
```
&SYSTEM
  ibrav = 0, nat = 4, ntyp = 3
/
ATOMIC_SPECIES
K 39.10 K.upf
Ca 40.08 Ca.upf
Mg 24.30 Mg.upf
ATOMIC_POSITIONS crystal
K 0.000 0.000 0.000
Ca 0.500 0.500 0.500
Mg 0.241 0.241 0.672
Mg 0.759 0.759 0.328
CELL_PARAMETERS angstrom
5.723 -1.824 0.000
5.723 1.824 0.000
-0.958 0.000 7.566
```

## Properties
* volume: 39.495 Å³ per atom
* formation energy: 0.195 eV per atom


Entry 2:
Below is K2CaMg2 after structural relaxation, with properties calculated at the GGA-PBE level. Values from VASP.

Quantum ESPRESSO input file:
```
&SYSTEM
  ibrav = 0, nat = 5, ntyp = 3
/
ATOMIC_SPECIES
K 39.10 K.upf
Ca 40.08 Ca.upf
Mg 24.30 Mg.upf
ATOMIC_POSITIONS crystal
K 0.250 0.750 0.500
K 0.750 0.250 0.500
Ca 0.000 0.000 0.000
Mg 0.416 0.416 0.000
Mg 0.584 0.584 0.000
CELL_PARAMETERS angstrom
-2.504 2.504 8.510
2.504 -2.504 8.510
2.504 2.504 -8.510
```

## Properties
* volume: 42.697 Å³ per atom
* formation energy: 0.276 eV per atom


Entry 3:
Below is KCaMg6 after structural relaxation, with properties calculated at the GGA-PBE level. Values from VASP.

Quantum ESPRESSO input file:
```
&SYSTEM
  ibrav = 0, nat = 8, ntyp = 3
/
ATOMIC_SPECIES
K 39.10 K.upf
Ca 40.08 Ca.upf
Mg 24.30 Mg.upf
ATOMIC_POSITIONS crystal
K 0.000 0.000 0.000
Ca 0.000 0.489 0.489
Mg 0.000 0.502 0.988
Mg 0.000 0.988 0.502
Mg 0.500 0.136 0.628
Mg 0.500 0.171 0.171
Mg 0.500 0.628 0.136
Mg 0.500 0.658 0.658
CELL_PARAMETERS angstrom
5.420 0.000 0.000
0.000 3.391 6.271
0.000 -3.391 6.271
```

## Properties
* volume: 28.812 Å³ per atom
* formation energy: 0.143 eV per atom


Entry 4:
Below is KCaMg2 after structural relaxation, with properties calculated at the GGA-PBE level. Values from VASP.

Quantum ESPRESSO input file:
```
&SYSTEM
  ibrav = 0, nat = 4, ntyp = 3
/
ATOMIC_SPECIES
K 39.10 K.upf
Ca 40.08 Ca.upf
Mg 24.30 Mg.upf
ATOMIC_POSITIONS crystal
K 0.000 0.000 0.000
Ca 0.500 0.500 0.500
Mg 0.242 0.242 0.242
Mg 0.758 0.758 0.758
CELL_PARAMETERS angstrom
1.901 1.097 11.834
-1.901 1.097 11.834
0.000 -2.195 11.834
```

## Properties
* volume: 37.030 Å³ per atom
* formation energy: 0.208 eV per atom


Entry 5:
Below is KCaMg2 after structural relaxation, with properties calculated at the GGA-PBE level. Values from VASP.

Quantum ESPRESSO input file:
```
&SYSTEM
  ibrav = 0, nat = 8, ntyp = 3
/
ATOMIC_SPECIES
K 39.10 K.upf
Ca 40.08 Ca.upf
Mg 24.30 Mg.upf
ATOMIC_POSITIONS crystal
K 0.000 0.000 0.000
K 0.750 0.250 0.500
Ca 0.250 0.750 0.500
Ca 0.500 0.500 0.000
Mg 0.135 0.625 0.010
Mg 0.375 0.385 0.510
Mg 0.615 0.125 0.990
Mg 0.875 0.865 0.490
CELL_PARAMETERS angstrom
-4.661 4.661 3.537
4.661 -4.661 3.537
4.661 4.661 -3.537
```

## Properties
* volume: 38.423 Å³ per atom
* formation energy: 0.345 eV per atom


Entry 6:
Below is KCaMg2 after structural relaxation, with properties calculated at the GGA-PBE level. Values from VASP.

Quantum ESPRESSO input file:
```
&SYSTEM
  ibrav = 0, nat = 4, ntyp = 3
/
ATOMIC_SPECIES
K 39.10 K.upf
Ca 40.08 Ca.upf
Mg 24.30 Mg.upf
ATOMIC_POSITIONS crystal
K 0.000 0.000 0.000
Ca 0.500 0.500 0.500
Mg 0.250 0.250 0.250
Mg 0.750 0.750 0.750
CELL_PARAMETERS angstrom
0.000 4.155 4.155
4.155 0.000 4.155
4.155 4.155 0.000
```

## Properties
* volume: 35.873 Å³ per atom
* formation energy: 0.178 eV per atom


Entry 7:
Below is KCaMg2 after structural relaxation, with properties calculated at the GGA-PBE level. Values from VASP.

Quantum ESPRESSO input file:
```
&SYSTEM
  ibrav = 0, nat = 4, ntyp = 3
/
ATOMIC_SPECIES
K 39.10 K.upf
Ca 40.08 Ca.upf
Mg 24.30 Mg.upf
ATOMIC_POSITIONS crystal
K 0.000 0.000 0.000
Ca 0.007 0.500 0.633
Mg 0.503 0.000 0.485
Mg 0.505 0.500 0.185
CELL_PARAMETERS angstrom
3.608 0.000 0.000
0.000 5.936 0.000
-0.028 0.000 6.543
```

## Properties
* volume: 35.030 Å³ per atom
* formation energy: 0.135 eV per atom


Entry 8:
Below is KCaMg2 after structural relaxation, with properties calculated at the GGA-PBE level. Values from VASP.

Quantum ESPRESSO input file:
```
&SYSTEM
  ibrav = 0, nat = 4, ntyp = 3
/
ATOMIC_SPECIES
K 39.10 K.upf
Ca 40.08 Ca.upf
Mg 24.30 Mg.upf
ATOMIC_POSITIONS crystal
K 0.000 0.000 0.000
Ca 0.204 0.204 0.639
Mg 0.450 0.450 0.470
Mg 0.761 0.761 0.186
CELL_PARAMETERS angstrom
6.596 -1.811 0.000
6.596 1.811 0.000
-2.018 0.000 5.954
```

## Properties
* volume: 35.565 Å³ per atom
* formation energy: 0.136 eV per atom